# TiNbZn6

Crystalline TiNbZn6 at its relaxed geometry (PBE, the Alexandria database).

Cell: 3.935 3.935 7.851 Å, 90.00 90.00 90.00°
Sites, in units of the cell vectors:
Ti 0.000 0.000 0.000
Nb 0.000 0.000 0.500
Zn 0.000 0.500 0.248
Zn 0.000 0.500 0.752
Zn 0.500 0.000 0.248
Zn 0.500 0.000 0.752
Zn 0.500 0.500 0.000
Zn 0.500 0.500 0.500

Its size of the total moment is 0.0 μB/f.u. As for the energy of formation: -0.17 eV per atom. For the raw total energy, the calculation gives -3.373 eV per atom.